(1)
Below is an optimized crystal structure of TaAgPd, with properties calculated at the GGA-PBE level.

```
TaAgPd
1.0
0.000 3.073 3.073
3.073 0.000 3.073
3.073 3.073 0.000
Ta Ag Pd
1 1 1
direct
0.000 0.000 0.000
0.500 0.500 0.500
0.750 0.750 0.750
```

## Properties
Calculated volume ... 19.35 Å³/atom
Mass density ... 11.31 g/cm3
Space-group type ... No. 216
Energy of formation from the pure elements ... 0.46 eV per atom
Offset from the most stable computed form ... 0.000 eV/atom

(2)
Below is an optimized crystal structure of TbAgPd, with properties calculated at the GGA-PBE level.

```
TbAgPd
1.0
0.000 3.273 3.273
3.273 0.000 3.273
3.273 3.273 0.000
Tb Ag Pd
1 1 1
direct
0.000 0.000 0.000
0.500 0.500 0.500
0.750 0.750 0.750
```

## Properties
Calculated volume ... 23.38 Å³/atom
Mass density ... 8.83 g/cm3
Space-group type ... No. 216
Energy of formation from the pure elements ... -0.48 eV per atom

(3)
Below is an optimized crystal structure of Tb2AgPd, with properties calculated at the GGA-PBE level.

```
Tb2AgPd
1.0
4.685 0.000 0.000
0.000 1.881 5.359
0.000 -1.881 5.359
Tb Ag Pd
2 1 1
direct
0.000 0.000 0.000
0.500 0.279 0.279
0.500 0.558 0.558
0.000 0.725 0.725
```

## Properties
Calculated volume ... 23.61 Å³/atom
Mass density ... 9.36 g/cm3
Space-group type ... No. 38
Energy of formation from the pure elements ... -0.60 eV per atom

> Which of these has the lowest energy of formation from the pure elements?

Tb2AgPd

> What is the formula in the first record?

TaAgPd

> What is the energy of formation from the pure elements in the second record?

-0.48 eV per atom

> Among the records above, which one has the highest calculated volume?

Tb2AgPd